Record 1
Entry from Alexandria via LeMat-Bulk: a relaxed Pu2Cu2Ge crystal (PBE).

Geometry as POSCAR:
```
Pu2Cu2Ge
1.0
-6.157 2.355 0.188
-1.966 -4.816 -4.053
-1.764 -5.172 7.001
Ge Cu Pu
4 8 8
direct
0.500 0.500 0.750 Ge
0.000 0.000 0.750 Ge
0.500 0.500 0.250 Ge
0.000 0.000 0.250 Ge
0.130 0.370 0.750 Cu
0.630 0.130 0.250 Cu
0.870 0.630 0.750 Cu
0.630 0.130 0.750 Cu
0.130 0.370 0.250 Cu
0.370 0.870 0.250 Cu
0.870 0.630 0.250 Cu
0.370 0.870 0.750 Cu
0.825 0.325 0.000 Pu
0.825 0.325 0.500 Pu
0.325 0.175 0.000 Pu
0.675 0.825 0.000 Pu
0.325 0.175 0.500 Pu
0.175 0.675 0.500 Pu
0.675 0.825 0.500 Pu
0.175 0.675 0.000 Pu
```

Computed properties:
symmetry: P4/mbm
ΔE to the lowest computed polymorph: 0.0 kJ/mol of atoms

Record 2
Entry from Alexandria via LeMat-Bulk: a relaxed Pu3CuGe2 crystal (PBE).

Geometry as POSCAR:
```
Pu3CuGe2
1.0
-0.268 -1.866 -3.914
-8.343 -3.652 2.312
-5.374 9.609 -4.213
Pu Ge Cu
12 8 4
direct
0.250 0.093 0.559 Pu
0.750 0.608 0.665 Pu
0.750 0.255 0.254 Pu
0.250 0.745 0.746 Pu
0.750 0.245 0.754 Pu
0.750 0.593 0.941 Pu
0.750 0.907 0.441 Pu
0.250 0.108 0.835 Pu
0.750 0.892 0.165 Pu
0.250 0.392 0.335 Pu
0.250 0.407 0.059 Pu
0.250 0.755 0.246 Pu
0.750 0.556 0.196 Ge
0.250 0.817 0.994 Ge
0.250 0.056 0.304 Ge
0.250 0.683 0.494 Ge
0.750 0.317 0.506 Ge
0.750 0.944 0.696 Ge
0.250 0.444 0.804 Ge
0.750 0.183 0.006 Ge
0.750 0.586 0.409 Cu
0.250 0.414 0.591 Cu
0.750 0.914 0.909 Cu
0.250 0.086 0.091 Cu
```

Computed properties:
symmetry: Pnma

Final energy values, unit eV for the cell shown, following the record order: -168.44, -232.81.
Formation enthalpy at 0 K values, unit eV per atom, following the record order: -0.127, -0.313.